Entry 1:
{
  "formula": "MgP2Cl",
  "functional": "GGA-PBEsol",
  "state": "optimized geometry",
  "lattice": [[-1.622, 1.794, 6.031], [1.622, -1.794, 6.031], [1.622, 1.794, -6.031]],
  "species": ["Mg", "P", "P", "Cl"],
  "fractional_positions": [[0.000, 0.000, 0.000], [0.226, 0.726, 0.500], [0.774, 0.274, 0.500], [0.500, 0.500, 0.000]],
  "dos_ef_per_ev_fu": 1.35,
  "formation_energy_uncorrected_ev_per_atom": -0.2997,
  "total_energy_ev_per_atom": -4.13,
  "spacegroup": "Immm"
}

=====

Entry 2:
{
  "formula": "KMgGaTc2",
  "functional": "GGA-PBEsol",
  "state": "optimized geometry",
  "lattice": [[4.821, 0.000, 0.000], [0.000, 4.821, 0.000], [0.000, 0.000, 5.157]],
  "species": ["K", "Mg", "Ga", "Tc", "Tc"],
  "fractional_positions": [[0.000, 0.000, 0.000], [0.000, 0.000, 0.500], [0.500, 0.500, 0.000], [0.000, 0.500, 0.500], [0.500, 0.000, 0.500]],
  "dos_ef_per_ev_fu": 3.56,
  "total_energy_ev_per_atom": -3.75,
  "formation_enthalpy_0k_mev_per_atom": 1990,
  "spacegroup": "P4/mmm"
}

=====

Entry 3:
{
  "formula": "LaTlFe2",
  "functional": "GGA-PBEsol",
  "state": "optimized geometry",
  "lattice": [[3.678, 0.000, 0.000], [0.000, 2.102, 4.963], [0.000, -2.102, 4.963]],
  "species": ["La", "Tl", "Fe", "Fe"],
  "fractional_positions": [[0.000, 0.000, 0.000], [0.500, 0.291, 0.291], [0.000, 0.714, 0.714], [0.500, 0.583, 0.583]],
  "dos_ef_per_ev_fu": 2.83,
  "total_energy_ev_per_atom": -6.29,
  "formation_enthalpy_0k_mev_per_atom": 181,
  "spacegroup": "Amm2"
}